The following is a DFT calculation (PBE) of crystalline InSbMo at its relaxed geometry.

Output
Its space group is I4/mmm. As for the density of states at the Fermi level: 4.51 states/eV/cell. Its offset from the most stable computed form is 0 meV per atom.

Cell lengths 3.2453, 3.2453, 13.8009 Å; angles 96.75, 96.75, 90.00 degrees
With the nearest neighbours (Å) after each atom.
Positions (direct):
1 Mo 0.2759 0.2759 0.5517  4 Mo 2.69, 4 Sb 2.92
2 Mo 0.7241 0.7241 0.4483  4 Mo 2.69, 4 Sb 2.92
3 Sb 0.1579 0.1579 0.3158  5 Mo 2.92-3.21, 4 Sb 3.25
4 Sb 0.8421 0.8421 0.6842  5 Mo 2.92-3.21, 4 Sb 3.25
5 In 0.5566 0.5566 0.1132  5 In 3.08-3.25
6 In 0.4434 0.4434 0.8868  5 In 3.08-3.25